No. 1
Density functional theory data (PBE-GGA) for a relaxed structure of Ce7Hg2Bi2.

Computed properties:
Electronic total energy ... -51.0 eV per cell
Energy of formation ... -104 meV per atom
Crystal system ... orthorhombic

Structure (extended XYZ):
```
11
Lattice="4.7522 -5.7126 0.0000 4.7522 5.7126 0.0000 0.0000 0.0000 6.6739" Properties=species:S:1:pos:R:3 pbc="T T T"
Ce 0.0000 0.0000 0.0000
Ce 2.3761 2.8563 1.9981
Ce 2.3761 2.8563 4.6758
Ce 2.3761 -2.8563 1.9981
Ce 2.3761 -2.8563 4.6758
Ce 4.7522 0.0000 1.9865
Ce 4.7522 0.0000 4.6873
Hg 4.7522 2.5304 0.0000
Hg 4.7522 -2.5304 0.0000
Bi 1.6399 0.0000 3.3369
Bi 7.8644 0.0000 3.3369
```



No. 2
Density functional theory data (PBE-GGA) for a relaxed structure of Ce4HgBi5.

Computed properties:
Electronic total energy ... -49.3 eV per cell
Energy of formation ... -584 meV per atom
Crystal system ... orthorhombic

Structure (extended XYZ):
```
10
Lattice="-2.2583 5.6885 6.2689 2.2583 -5.6885 6.2689 2.2583 5.6885 -6.2689" Properties=species:S:1:pos:R:3 pbc="T T T"
Ce 2.2583 2.3667 0.0000
Ce 0.0000 0.0000 3.1034
Ce 0.0000 0.0000 9.4345
Ce 0.0000 3.3217 6.2689
Hg 0.0000 0.0000 6.2689
Bi 0.0000 0.0000 0.0000
Bi 2.2583 -2.0085 4.2393
Bi 0.0000 3.6800 2.0297
Bi 2.2583 2.0085 4.2393
Bi 0.0000 7.6970 2.0297
```



No. 3
Density functional theory data (PBE-GGA) for a relaxed structure of Ce2Hg2Bi.

Computed properties:
Electronic total energy ... -36.8 eV per cell
Energy of formation ... -405 meV per atom
Crystal system ... monoclinic

Structure (extended XYZ):
```
10
Lattice="8.6277 -2.8715 0.0000 8.6277 2.8715 0.0000 -0.0105 0.0000 5.7329" Properties=species:S:1:pos:R:3 pbc="T T T"
Ce 6.8057 1.4389 4.2983
Ce 10.4340 1.4389 4.3010
Ce 6.8110 -1.4389 1.4318
Ce 10.4392 -1.4389 1.4346
Hg 5.1007 1.4306 1.4306
Hg 12.1495 1.4306 1.4358
Hg 5.0954 -1.4306 4.2970
Hg 12.1443 -1.4306 4.3023
Bi 8.6251 1.4332 1.4332
Bi 8.6199 -1.4332 4.2996
```



No. 4
Density functional theory data (PBE-GGA) for a relaxed structure of Ce3HgBi.

Computed properties:
Electronic total energy ... -43.4 eV per cell
Energy of formation ... 57 meV per atom
Crystal system ... orthorhombic

Structure (extended XYZ):
```
10
Lattice="5.9750 0.0000 0.0000 0.0000 6.6033 0.0000 0.0000 0.0000 10.0408" Properties=species:S:1:pos:R:3 pbc="T T T"
Ce 0.0000 0.0000 0.0000
Ce 0.0000 3.3016 5.0204
Ce 2.9875 1.3434 7.2726
Ce 2.9875 1.9583 2.2522
Ce 2.9875 4.6450 2.2522
Ce 2.9875 5.2599 7.2726
Hg 2.9875 0.0000 10.0104
Hg 2.9875 3.3016 4.9900
Bi 0.0000 0.0000 6.4525
Bi 0.0000 3.3016 1.4321
```



No. 5
Density functional theory data (PBE-GGA) for a relaxed structure of CeHgBi.

Computed properties:
Electronic total energy ... -44.6 eV per cell
Energy of formation ... -344 meV per atom
Crystal system ... cubic

Structure (extended XYZ):
```
12
Lattice="7.4816 0.0000 0.0000 0.0000 7.4816 0.0000 0.0000 0.0000 7.4816" Properties=species:S:1:pos:R:3 pbc="T T T"
Ce 0.0000 0.0000 0.0000
Ce 0.0000 3.7408 3.7408
Ce 3.7408 0.0000 3.7408
Ce 3.7408 3.7408 0.0000
Hg 1.8704 1.8704 1.8704
Hg 1.8704 5.6112 5.6112
Hg 5.6112 1.8704 5.6112
Hg 5.6112 5.6112 1.8704
Bi 1.8704 1.8704 5.6112
Bi 1.8704 5.6112 1.8704
Bi 5.6112 1.8704 1.8704
Bi 5.6112 5.6112 5.6112
```



No. 6
Density functional theory data (PBE-GGA) for a relaxed structure of CeHgBi.

Computed properties:
Electronic total energy ... -22.1 eV per cell
Energy of formation ... -318 meV per atom
Crystal system ... tetragonal

Structure (extended XYZ):
```
6
Lattice="4.6096 0.0000 0.0000 0.0000 4.6096 0.0000 0.0000 0.0000 8.7003" Properties=species:S:1:pos:R:3 pbc="T T T"
Ce 1.1524 1.1524 1.8554
Ce 3.4572 3.4572 6.8449
Hg 1.1524 1.1524 7.4556
Hg 3.4572 3.4572 1.2447
Bi 1.1524 3.4572 4.3502
Bi 3.4572 1.1524 4.3502
```



No. 7
Density functional theory data (PBE-GGA) for a relaxed structure of CeInHgBi.

Computed properties:
Electronic total energy ... -55.8 eV per cell
Energy of formation ... -275 meV per atom
Crystal system ... cubic

Structure (extended XYZ):
```
16
Lattice="7.7038 0.0000 0.0000 0.0000 7.7038 0.0000 0.0000 0.0000 7.7038" Properties=species:S:1:pos:R:3 pbc="T T T"
Ce 0.0000 0.0000 0.0000
Ce 0.0000 3.8519 3.8519
Ce 3.8519 0.0000 3.8519
Ce 3.8519 3.8519 0.0000
In 0.0000 0.0000 3.8519
In 0.0000 3.8519 0.0000
In 3.8519 0.0000 0.0000
In 3.8519 3.8519 3.8519
Hg 1.9259 1.9259 5.7778
Hg 1.9259 5.7778 1.9259
Hg 5.7778 1.9259 1.9259
Hg 5.7778 5.7778 5.7778
Bi 1.9259 1.9259 1.9259
Bi 1.9259 5.7778 5.7778
Bi 5.7778 1.9259 5.7778
Bi 5.7778 5.7778 1.9259
```



No. 8
Density functional theory data (PBE-GGA) for a relaxed structure of CeInHgBi.

Computed properties:
Electronic total energy ... -14.6 eV per cell
Energy of formation ... -435 meV per atom
Crystal system ... orthorhombic

Structure (extended XYZ):
```
4
Lattice="4.6260 0.0000 0.0000 0.0000 4.6459 0.0000 0.0000 0.0000 5.0933" Properties=species:S:1:pos:R:3 pbc="T T T"
Ce 0.0000 0.0000 0.0000
In 0.0000 2.3230 2.5467
Hg 2.3130 0.0000 2.5467
Bi 2.3130 2.3230 0.0000
```



Please write out number 7 again, unchanged.
Density functional theory data (PBE-GGA) for a relaxed structure of CeInHgBi.

Computed properties:
Electronic total energy ... -55.8 eV per cell
Energy of formation ... -275 meV per atom
Crystal system ... cubic

Structure (extended XYZ):
```
16
Lattice="7.7038 0.0000 0.0000 0.0000 7.7038 0.0000 0.0000 0.0000 7.7038" Properties=species:S:1:pos:R:3 pbc="T T T"
Ce 0.0000 0.0000 0.0000
Ce 0.0000 3.8519 3.8519
Ce 3.8519 0.0000 3.8519
Ce 3.8519 3.8519 0.0000
In 0.0000 0.0000 3.8519
In 0.0000 3.8519 0.0000
In 3.8519 0.0000 0.0000
In 3.8519 3.8519 3.8519
Hg 1.9259 1.9259 5.7778
Hg 1.9259 5.7778 1.9259
Hg 5.7778 1.9259 1.9259
Hg 5.7778 5.7778 5.7778
Bi 1.9259 1.9259 1.9259
Bi 1.9259 5.7778 5.7778
Bi 5.7778 1.9259 5.7778
Bi 5.7778 5.7778 1.9259
```



Q: Number 3 is which compound?
A: Ce2Hg2Bi